{
  "formula": "AcThTl",
  "functional": "PBE-GGA",
  "state": "optimized geometry",
  "cell": [[-2.015, 2.015, 6.427], [2.015, -2.015, 6.427], [2.015, 2.015, -6.427]],
  "species": ["Ac", "Th", "Tl"],
  "frac_coords": [[0.000, 0.000, 0.000], [0.305, 0.305, 0.000], [0.666, 0.666, 0.000]],
  "e_form_ev_per_fu": -0.092,
  "relative_energy_kj_per_mol_fu": 0
}


{
  "formula": "AcThTl4",
  "functional": "PBE-GGA",
  "state": "optimized geometry",
  "cell": [[0.000, 4.489, 4.489], [4.489, 0.000, 4.489], [4.489, 4.489, 0.000]],
  "species": ["Ac", "Th", "Tl", "Tl", "Tl", "Tl"],
  "frac_coords": [[0.000, 0.000, 0.000], [0.250, 0.250, 0.250], [0.126, 0.625, 0.625], [0.625, 0.126, 0.625], [0.625, 0.625, 0.126], [0.625, 0.625, 0.625]],
  "e_form_ev_per_fu": -0.322
}


{
  "formula": "Ac2ThTl3",
  "functional": "PBE-GGA",
  "state": "optimized geometry",
  "cell": [[4.069, 0.000, 0.000], [0.000, 4.069, 0.000], [0.000, 0.000, 12.056]],
  "species": ["Ac", "Ac", "Th", "Tl", "Tl", "Tl"],
  "frac_coords": [[0.000, 0.000, 0.172], [0.000, 0.000, 0.828], [0.000, 0.000, 0.500], [0.500, 0.500, 0.000], [0.500, 0.500, 0.347], [0.500, 0.500, 0.653]],
  "e_form_ev_per_fu": -1.438
}


Result set for calculated volume: 34.79; 30.16; 33.26 A^3/atom, one per record in the order listed.